PBE Na2NdAlH8, optimized geometry; total moment = 0.00 μB per formula unit; space-group type = No. 2; total energy = -3.38 eV per atom
1.0
4.5734 -0.0036 -0.0385
0.0029 4.5849 0.7832
0.0461 1.0312 6.0942
Na Nd Al H
2 1 1 8
direct
0.5001 0.3854 0.7869 Na
0.4999 0.6146 0.2131 Na
0.0000 0.0000 0.5000 Nd
0.0000 0.0000 0.0000 Al
0.0003 0.6638 0.2628 H
0.7490 0.8529 0.8595 H
0.7477 0.1446 0.1405 H
0.9997 0.3362 0.7372 H
0.2510 0.1471 0.1405 H
0.2523 0.8554 0.8595 H
0.4996 0.7858 0.5032 H
0.5004 0.2142 0.4968 H